(1)
ZrSb2P2 after structural relaxation, computed with PBE.

Calculated density   4.8 Mg/m³
Formation energy from raw total energies   14.36 kJ per mole of atoms

a b c (Å): 3.8566 3.8566 18.6310
angles (deg): 90.00 90.00 90.00
Closest atoms and distances in Å follow each position.
Space group I4/mmm (No. 139)
Asymmetric unit:
1 Zr 0.0000 0.0000 0.0000 [2 per cell]  8 P 2.94
2 Sb 0.0000 0.5000 0.2500 [4 per cell]  4 Sb 2.73
3 P 0.0000 0.0000 0.4409 [4 per cell]  1 P 2.20



(2)
ZrSb2P after structural relaxation, computed with PBE.

Calculated density   6.9 Mg/m³
Formation energy from raw total energies   3.97 kJ per mole of atoms

a b c (Å): 4.9921 4.9921 3.5462
angles (deg): 90.00 90.00 90.00
Closest atoms and distances in Å follow each position.
Space group P4/mmm (No. 123)
Asymmetric unit:
1 Zr 0.0000 0.0000 0.0000 [1 per cell]  8 Sb 3.06
2 Sb 0.0000 0.5000 0.5000 [2 per cell]  4 P 3.06, 4 Zr 3.06
3 P 0.5000 0.5000 0.0000 [1 per cell]  8 Sb 3.06



(3)
Zr2SbP after structural relaxation, computed with PBE.

Calculated density   6.9 Mg/m³
Formation energy from raw total energies   -71.22 kJ per mole of atoms

a b c (Å): 3.2954 3.2954 7.4140
angles (deg): 90.00 90.00 90.00
Closest atoms and distances in Å follow each position.
Space group P4/mmm (No. 123)
Asymmetric unit:
1 Zr 0.0000 0.0000 0.2075 [2 per cell]  4 P 2.79, 1 Zr 3.08
2 Sb 0.5000 0.5000 0.5000 [1 per cell]  8 Zr 3.18, 4 Sb 3.30
3 P 0.5000 0.5000 0.0000 [1 per cell]  8 Zr 2.79



(4)
Zr2SbP after structural relaxation, computed with PBE.

Calculated density   6.7 Mg/m³
Formation energy from raw total energies   -3.90 kJ per mole of atoms

a b c (Å): 6.9182 6.9182 6.9182
angles (deg): 90.00 90.00 90.00
Closest atoms and distances in Å follow each position.
Space group F-43m (No. 216)
Asymmetric unit:
1 Zr 0.0000 0.0000 0.0000 [4 per cell]  4 Sb 3.00, 4 Zr 3.00
2 Zr 0.2500 0.2500 0.2500 [4 per cell]  4 Zr 3.00, 4 P 3.00
3 Sb 0.2500 0.2500 0.7500 [4 per cell]  4 Zr 3.00, 4 P 3.00
4 P 0.0000 0.0000 0.5000 [4 per cell]  4 Zr 3.00, 4 Sb 3.00



(5)
ZrSb2P after structural relaxation, computed with PBE.

Calculated density   6.6 Mg/m³
Formation energy from raw total energies   -2.03 kJ per mole of atoms

a b c (Å): 4.0564 4.0564 5.5632
angles (deg): 90.00 90.00 90.00
Closest atoms and distances in Å follow each position.
Space group P4/mmm (No. 123)
Asymmetric unit:
1 Zr 0.0000 0.0000 0.0000 [1 per cell]  4 P 2.87
2 Sb 0.0000 0.5000 0.5000 [2 per cell]  4 Sb 2.87
3 P 0.5000 0.5000 0.0000 [1 per cell]  4 Zr 2.87



(6)
ZrSbP2 after structural relaxation, computed with PBE.

Calculated density   5.7 Mg/m³
Formation energy from raw total energies   -14.24 kJ per mole of atoms

a b c (Å): 3.6361 3.6361 20.8199
angles (deg): 90.00 90.00 120.00
Closest atoms and distances in Å follow each position.
Space group R3m (No. 160, hexagonal axes)
Asymmetric unit:
1 Zr 0.0000 0.0000 0.0000 [3 per cell]  3 P 2.66
2 Sb 0.0000 0.0000 0.2293 [3 per cell]  3 P 2.73, 3 Zr 3.02
3 P 0.0000 0.0000 0.4792 [3 per cell]  3 P 2.52, 3 Sb 2.73
4 P 0.0000 0.0000 0.7455 [3 per cell]  3 P 2.52, 3 Zr 2.66



(7)
ZrSbP2 after structural relaxation, computed with PBE.

Calculated density   6.2 Mg/m³
Formation energy from raw total energies   -22.83 kJ per mole of atoms

a b c (Å): 3.4982 4.7777 8.7831
angles (deg): 90.00 90.00 90.00
Closest atoms and distances in Å follow each position.
Space group Imm2 (No. 44)
Asymmetric unit:
1 Zr 0.0000 0.0000 0.0000 [2 per cell]  8 P 2.97-3.06, 4 Sb 3.05
2 Sb 0.0000 0.5000 0.2158 [2 per cell]  6 P 2.73-3.02, 4 Zr 3.05
3 P 0.0000 0.0000 0.4779 [2 per cell]  2 P 2.43
4 P 0.0000 0.5000 0.7854 [2 per cell]  2 P 2.43



(8)
ZrSbP2 after structural relaxation, computed with PBE.

Calculated density   6.1 Mg/m³
Formation energy from raw total energies   -14.17 kJ per mole of atoms

a b c (Å): 4.6881 4.6881 3.4162
angles (deg): 90.00 90.00 90.00
Closest atoms and distances in Å follow each position.
Space group P4/mmm (No. 123)
Asymmetric unit:
1 Zr 0.0000 0.0000 0.0000 [1 per cell]  8 P 2.90
2 Sb 0.5000 0.5000 0.0000 [1 per cell]  8 P 2.90
3 P 0.0000 0.5000 0.5000 [2 per cell]  4 Zr 2.90, 4 Sb 2.90



(9)
ZrSbP2 after structural relaxation, computed with PBE.

Calculated density   5.9 Mg/m³
Formation energy from raw total energies   -16.79 kJ per mole of atoms

a b c (Å): 3.8870 3.8870 10.2356
angles (deg): 90.00 90.00 90.00
Closest atoms and distances in Å follow each position.
Space group I-4m2 (No. 119)
Asymmetric unit:
1 Zr 0.0000 0.0000 0.0000 [2 per cell]  4 P 2.75
2 Sb 0.0000 0.5000 0.2500 [2 per cell]  4 P 2.75
3 P 0.0000 0.0000 0.5000 [2 per cell]  4 Zr 2.75
4 P 0.0000 0.5000 0.7500 [2 per cell]  4 Sb 2.75



(10)
ZrSbP2 after structural relaxation, computed with PBE.

Calculated density   5.4 Mg/m³
Formation energy from raw total energies   -30.60 kJ per mole of atoms

a b c (Å): 9.2662 3.3724 5.3631
angles (deg): 90.00 90.13 90.00
Closest atoms and distances in Å follow each position.
Space group C2/m (No. 12)
Asymmetric unit:
1 Zr 0.0000 0.0000 0.0000 [2 per cell]  6 P 2.73-2.74
2 Sb 0.0000 0.5000 0.5000 [2 per cell]  2 P 2.77
3 P 0.2176 0.5000 0.1463 [4 per cell]  2 P 2.38



(11)
ZrSb2P after structural relaxation, computed with PBE.

Calculated density   4.8 Mg/m³
Formation energy from raw total energies   30.86 kJ per mole of atoms

a b c (Å): 6.5362 6.5362 11.9286
angles (deg): 90.00 90.00 90.00
Closest atoms and distances in Å follow each position.
Space group I-42d (No. 122)
Asymmetric unit:
1 Zr 0.0000 0.0000 0.0000 [4 per cell]  4 Sb 2.85
2 Sb 0.2251 0.2500 0.6250 [8 per cell]  2 P 2.66, 2 Zr 2.85
3 P 0.0000 0.0000 0.5000 [4 per cell]  4 Sb 2.66



(12)
ZrSbP2 after structural relaxation, computed with PBE.

Calculated density   5.6 Mg/m³
Formation energy from raw total energies   -40.23 kJ per mole of atoms

a b c (Å): 3.8637 3.8637 5.5000
angles (deg): 90.00 90.00 90.00
Closest atoms and distances in Å follow each position.
Space group P4mm (No. 99)
Asymmetric unit:
1 Zr 0.0000 0.0000 0.0000 [1 per cell]  6 P 2.74-2.75
2 Sb 0.5000 0.5000 0.5454 [1 per cell]  6 P 2.63-2.87
3 P 0.0000 0.0000 0.5000 [1 per cell]  4 Sb 2.74, 2 Zr 2.75
4 P 0.5000 0.5000 0.0240 [1 per cell]  2 Sb 2.63-2.87, 4 Zr 2.74



(13)
ZrSb2P after structural relaxation, computed with PBE.

Calculated density   6.9 Mg/m³
Formation energy from raw total energies   -1.69 kJ per mole of atoms

a b c (Å): 4.2300 4.2300 9.8889
angles (deg): 90.00 90.00 90.00
Closest atoms and distances in Å follow each position.
Space group I-4m2 (No. 119)
Asymmetric unit:
1 Zr 0.0000 0.0000 0.0000 [2 per cell]  8 Sb 2.99-3.25, 4 P 3.25
2 Sb 0.0000 0.0000 0.5000 [2 per cell]  4 Zr 2.99, 4 Sb 3.25, 4 P 3.25
3 Sb 0.0000 0.5000 0.2500 [2 per cell]  4 P 2.99, 4 Zr 3.25, 4 Sb 3.25
4 P 0.0000 0.5000 0.7500 [2 per cell]  8 Sb 2.99-3.25, 4 Zr 3.25



(14)
ZrSbP2 after structural relaxation, computed with PBE.

Calculated density   6.0 Mg/m³
Formation energy from raw total energies   0.86 kJ per mole of atoms

a b c (Å): 4.1859 4.1859 8.7138
angles (deg): 90.00 90.00 90.00
Closest atoms and distances in Å follow each position.
Space group I4/mmm (No. 139)
Asymmetric unit:
1 Zr 0.0000 0.0000 0.0000 [2 per cell]  4 Sb 2.96, 8 P 3.02
2 Sb 0.0000 0.0000 0.5000 [2 per cell]  4 Zr 2.96, 8 P 3.02
3 P 0.0000 0.5000 0.2500 [4 per cell]  4 P 2.96, 4 Zr 3.02, 4 Sb 3.02



(15)
Zr2SbP after structural relaxation, computed with PBE.

Calculated density   6.5 Mg/m³
Formation energy from raw total energies   -109.54 kJ per mole of atoms

a b c (Å): 3.8398 3.8398 13.4148
angles (deg): 90.00 90.00 120.00
Closest atoms and distances in Å follow each position.
Space group P6_3/mmc (No. 194)
Asymmetric unit:
1 Zr 0.3333 0.6667 0.1026 [4 per cell]  3 P 2.61
2 Sb 0.3333 0.6667 0.7500 [2 per cell]  6 Zr 2.97
3 P 0.0000 0.0000 0.0000 [2 per cell]  6 Zr 2.61



(16)
Zr2SbP after structural relaxation, computed with PBE.

Calculated density   6.6 Mg/m³
Formation energy from raw total energies   -66.75 kJ per mole of atoms

a b c (Å): 10.0369 3.5830 4.6702
angles (deg): 90.00 90.28 90.00
Closest atoms and distances in Å follow each position.
Space group Cm (No. 8)
Asymmetric unit:
1 Zr 0.0000 0.0000 0.0000 [2 per cell]  3 Sb 2.79-2.86, 4 P 2.95-2.96
2 Zr 0.2468 0.0000 0.5041 [2 per cell]  3 P 2.83, 4 Sb 2.95
3 Sb 0.2219 0.5000 0.0041 [2 per cell]  7 Zr 2.79-2.95, 2 P 3.04
4 P 0.0283 0.5000 0.5025 [2 per cell]  7 Zr 2.83-2.96, 2 Sb 3.04



(17)
ZrSbP2 after structural relaxation, computed with PBE.

Calculated density   5.4 Mg/m³
Formation energy from raw total energies   -38.56 kJ per mole of atoms

a b c (Å): 3.8821 3.6362 11.9243
angles (deg): 90.00 90.00 90.00
Closest atoms and distances in Å follow each position.
Space group Amm2 (No. 38)
Asymmetric unit:
1 Zr 0.0000 0.0000 0.0000 [2 per cell]  6 P 2.76-2.77
2 Sb 0.5000 0.0000 0.7909 [2 per cell]  5 P 2.69-2.75
3 P 0.0000 0.0000 0.3250 [2 per cell]  4 Sb 2.69, 2 Zr 2.77
4 P 0.5000 0.0000 0.5604 [2 per cell]  1 Sb 2.75, 4 Zr 2.76



(18)
ZrSbP2 after structural relaxation, computed with PBE.

Calculated density   5.8 Mg/m³
Formation energy from raw total energies   25.81 kJ per mole of atoms

a b c (Å): 6.8029 6.8029 6.8029
angles (deg): 90.00 90.00 90.00
Closest atoms and distances in Å follow each position.
Space group F-43m (No. 216)
Asymmetric unit:
1 Zr 0.0000 0.0000 0.0000 [4 per cell]  4 P 2.95, 4 Sb 2.95
2 Sb 0.2500 0.2500 0.7500 [4 per cell]  4 Zr 2.95, 4 P 2.95
3 P 0.0000 0.0000 0.5000 [4 per cell]  4 Sb 2.95, 4 P 2.95
4 P 0.2500 0.2500 0.2500 [4 per cell]  4 P 2.95, 4 Zr 2.95



(19)
ScP3 after structural relaxation, computed with PBE.

Calculated density   3.5 Mg/m³
Electronic total energy   -0.4094 Ry/atom

a b c (Å): 6.4246 6.4246 6.4246
angles (deg): 90.00 90.00 90.00
Closest atoms and distances in Å follow each position.
Space group Fm-3m (No. 225)
Asymmetric unit:
1 Sc 0.0000 0.0000 0.0000 [4 per cell]  8 P 2.78
2 P 0.0000 0.0000 0.5000 [4 per cell]  8 P 2.78
3 P 0.2500 0.2500 0.2500 [8 per cell]  4 Sc 2.78, 4 P 2.78



(20)
ScP2 after structural relaxation, computed with PBE.

Calculated density   3.0 Mg/m³
Electronic total energy   -0.4286 Ry/atom

a b c (Å): 4.0418 4.0418 4.1481
angles (deg): 90.00 90.00 120.00
Closest atoms and distances in Å follow each position.
Space group P-3m1 (No. 164)
Asymmetric unit:
1 Sc 0.0000 0.0000 0.0000 [1 per cell]  6 P 2.62
2 P 0.3333 0.6667 0.2897 [2 per cell]  3 Sc 2.62, 3 P 2.91



(21)
ScP2 after structural relaxation, computed with PBE.

Calculated density   3.7 Mg/m³
Electronic total energy   -0.4798 Ry/atom

a b c (Å): 3.6613 14.8381 3.5788
angles (deg): 90.00 90.00 90.00
Closest atoms and distances in Å follow each position.
Space group Cmcm (No. 63)
Asymmetric unit:
1 Sc 0.0000 0.1095 0.2500 [4 per cell]  10 P 2.70-3.00
2 P 0.0000 0.2503 0.7500 [4 per cell]  4 P 2.56, 4 Sc 2.75-2.77
3 P 0.0000 0.4492 0.2500 [4 per cell]  2 P 2.34



(22)
Sc3P2 after structural relaxation, computed with PBE.

Calculated density   3.5 Mg/m³
Polymorph energy (0 for the lowest one)   0 meV/atom

a b c (Å): 6.9236 3.7804 14.4170
angles (deg): 90.00 90.00 90.00
Closest atoms and distances in Å follow each position.
Space group Pnma (No. 62)
Asymmetric unit:
1 Sc 0.0082 0.2500 0.1042 [4 per cell]  4 P 2.64-2.88
2 Sc 0.1347 0.7500 0.4323 [4 per cell]  5 P 2.61-2.75
3 Sc 0.1615 0.2500 0.7224 [4 per cell]  5 P 2.60-2.78
4 P 0.1299 0.2500 0.2951 [4 per cell]  7 Sc 2.60-2.88
5 P 0.2412 0.7500 0.0419 [4 per cell]  7 Sc 2.61-2.75



(23)
Sc3P5 after structural relaxation, computed with PBE.

Calculated density   3.6 Mg/m³
Polymorph energy (0 for the lowest one)   0 meV/atom

a b c (Å): 6.5200 8.1725 5.0781
angles (deg): 90.00 90.00 90.00
Closest atoms and distances in Å follow each position.
Space group Cmmm (No. 65)
Asymmetric unit:
1 Sc 0.0000 0.0000 0.0000 [2 per cell]  8 P 2.61-2.78
2 Sc 0.0000 0.2987 0.5000 [4 per cell]  4 P 2.69
3 P 0.0000 0.5000 0.0000 [2 per cell]  4 P 2.61
4 P 0.1731 0.0000 0.5000 [4 per cell]  1 P 2.26
5 P 0.2500 0.2500 0.0000 [4 per cell]  2 Sc 2.61, 2 P 2.61



(24)
ScP3 after structural relaxation, computed with PBE.

Calculated density   3.4 Mg/m³
Electronic total energy   -0.4188 Ry/atom

a b c (Å): 3.5810 5.2084 7.1483
angles (deg): 90.00 90.00 90.00
Closest atoms and distances in Å follow each position.
Space group Cmmm (No. 65)
Asymmetric unit:
1 Sc 0.0000 0.0000 0.0000 [2 per cell]  4 P 2.57
2 P 0.0000 0.0000 0.5000 [2 per cell]  4 P 2.49
3 P 0.0000 0.5000 0.2584 [4 per cell]  2 P 2.49, 2 Sc 2.57



(25)
ScP3 after structural relaxation, computed with PBE.

Calculated density   3.4 Mg/m³
Electronic total energy   -0.4454 Ry/atom

a b c (Å): 3.5546 3.5546 18.6314
angles (deg): 90.00 90.00 120.00
Closest atoms and distances in Å follow each position.
Space group R-3m (No. 166, hexagonal axes)
Asymmetric unit:
1 Sc 0.0000 0.0000 0.0000 [3 per cell]  6 P 2.67
2 P 0.0000 0.0000 0.2416 [6 per cell]  3 P 2.48, 3 Sc 2.67
3 P 0.0000 0.0000 0.5000 [3 per cell]  6 P 2.48



(26)
ScP4 after structural relaxation, computed with PBE.

Calculated density   2.4 Mg/m³
Polymorph energy (0 for the lowest one)   1303 meV/atom

a b c (Å): 4.8832 4.8832 4.8832
angles (deg): 90.00 90.00 90.00
Closest atoms and distances in Å follow each position.
Space group Pm-3m (No. 221)
Asymmetric unit:
1 Sc 0.0000 0.0000 0.0000 [1 per cell]  6 P 2.44
2 P 0.0000 0.0000 0.5000 [3 per cell]  2 Sc 2.44
3 P 0.5000 0.5000 0.5000 [1 per cell]  12 P 3.45



(27)
Sc2P after structural relaxation, computed with PBE.

Calculated density   3.0 Mg/m³
Electronic total energy   -0.5096 Ry/atom

a b c (Å): 5.9589 6.0519 3.7100
angles (deg): 90.00 90.00 90.00
Closest atoms and distances in Å follow each position.
Space group Pnnm (No. 58)
Asymmetric unit:
1 Sc 0.2496 0.1576 0.0000 [4 per cell]  3 P 2.55-2.56
2 P 0.0000 0.0000 0.5000 [2 per cell]  6 Sc 2.55-2.56



(28)
ScP2 after structural relaxation, computed with PBE.

Calculated density   3.5 Mg/m³
Electronic total energy   -0.4551 Ry/atom

a b c (Å): 4.0914 4.0914 3.4788
angles (deg): 90.00 90.00 120.00
Closest atoms and distances in Å follow each position.
Space group P6/mmm (No. 191)
Asymmetric unit:
1 Sc 0.0000 0.0000 0.0000 [1 per cell]  12 P 2.93
2 P 0.3333 0.6667 0.5000 [2 per cell]  3 P 2.36



(29)
ScP2 after structural relaxation, computed with PBE.

Calculated density   3.5 Mg/m³
Electronic total energy   -0.4393 Ry/atom

a b c (Å): 3.2542 3.2542 5.5464
angles (deg): 90.00 90.00 120.00
Closest atoms and distances in Å follow each position.
Space group P-3m1 (No. 164)
Asymmetric unit:
1 Sc 0.0000 0.0000 0.0000 [1 per cell]  6 P 2.77
2 P 0.3333 0.6667 0.3673 [2 per cell]  3 P 2.39



| no. | M_tot (μB/f.u.) |
| --- | --- |
| 1 | 0.00 |
| 2 | 0.00 |
| 3 | 0.00 |
| 4 | 1.51 |
| 5 | 0.00 |
| 6 | 0.00 |
| 7 | 0.00 |
| 8 | 0.00 |
| 9 | 0.00 |
| 10 | 0.00 |
| 11 | 0.86 |
| 12 | 0.00 |
| 13 | 0.00 |
| 14 | 0.00 |
| 15 | 0.00 |
| 16 | 0.00 |
| 17 | 0.00 |
| 18 | 0.00 |
| 19 | 0.00 |
| 20 | 0.00 |
| 21 | 0.00 |
| 22 | 0.00 |
| 23 | 0.00 |
| 24 | 0.00 |
| 25 | 0.00 |
| 26 | 0.00 |
| 27 | 0.00 |
| 28 | 0.00 |
| 29 | 0.00 |